[1]
{
  "formula": "LiNiW2O8",
  "functional": "meta-GGA SCAN",
  "state": "single point on PBEsol structure",
  "e_form_raw_mev_per_atom": -2007,
  "lattice_angstrom": [[4.856, 0.000, 0.000], [2.309, 4.923, 0.000], [0.058, 2.005, 5.275]],
  "species": ["Li", "Ni", "W", "W", "O", "O", "O", "O", "O", "O", "O", "O"],
  "fractional_positions": [[0.000, 0.000, 0.000], [0.471, 0.054, 0.301], [0.236, 0.539, 0.618], [0.698, 0.577, 0.973], [0.138, 0.334, 0.968], [0.226, 0.299, 0.467], [0.259, 0.830, 0.351], [0.290, 0.780, 0.835], [0.642, 0.334, 0.758], [0.675, 0.285, 0.230], [0.718, 0.821, 0.122], [0.792, 0.769, 0.625]]
}



[2]
{
  "formula": "Li4Ni3WO8",
  "functional": "meta-GGA SCAN",
  "state": "single point on PBEsol structure",
  "e_form_raw_mev_per_atom": -1905,
  "lattice_angstrom": [[2.927, 1.690, 4.772], [-2.927, 1.690, 4.772], [0.000, -3.379, 4.772]],
  "species": ["Li", "Li", "Li", "Li", "Ni", "Ni", "Ni", "W", "O", "O", "O", "O", "O", "O", "O", "O"],
  "fractional_positions": [[0.000, 0.000, 0.000], [0.000, 0.500, 0.500], [0.500, 0.000, 0.500], [0.500, 0.500, 0.000], [0.000, 0.000, 0.500], [0.000, 0.500, 0.000], [0.500, 0.000, 0.000], [0.500, 0.500, 0.500], [0.239, 0.239, 0.239], [0.264, 0.264, 0.735], [0.264, 0.735, 0.264], [0.265, 0.736, 0.736], [0.735, 0.264, 0.264], [0.736, 0.265, 0.736], [0.736, 0.736, 0.265], [0.761, 0.761, 0.761]]
}



[3]
{
  "formula": "LiNiOs2",
  "functional": "meta-GGA SCAN",
  "state": "single point on PBEsol structure",
  "e_form_ev_per_atom": 0.44,
  "relative_energy_ev_per_atom": 0.1530,
  "lattice_angstrom": [[3.028, 0.000, 0.000], [0.000, 3.028, 0.000], [0.000, 0.000, 5.203]],
  "species": ["Li", "Ni", "Os", "Os"],
  "fractional_positions": [[0.000, 0.000, 0.000], [0.000, 0.000, 0.500], [0.500, 0.500, 0.241], [0.500, 0.500, 0.759]]
}



[4]
{
  "formula": "LiNi2Os",
  "functional": "meta-GGA SCAN",
  "state": "single point on PBEsol structure",
  "e_form_ev_per_atom": 0.02,
  "relative_energy_ev_per_atom": 0.0000,
  "lattice_angstrom": [[2.551, -3.595, 0.000], [2.551, 3.595, 0.000], [0.000, 0.000, 2.514]],
  "species": ["Li", "Ni", "Ni", "Os"],
  "fractional_positions": [[0.000, 0.000, 0.000], [0.000, 0.500, 0.500], [0.500, 0.000, 0.500], [0.500, 0.500, 0.000]]
}



[5]
{
  "formula": "LiNiOs2",
  "functional": "meta-GGA SCAN",
  "state": "single point on PBEsol structure",
  "e_form_ev_per_atom": 0.28,
  "relative_energy_ev_per_atom": 0.0000,
  "lattice_angstrom": [[2.564, -4.299, 0.000], [2.564, 4.299, 0.000], [-1.069, 0.000, 2.321]],
  "species": ["Li", "Ni", "Os", "Os"],
  "fractional_positions": [[0.000, 0.000, 0.000], [0.500, 0.500, 0.000], [0.000, 0.500, 0.500], [0.500, 0.000, 0.500]]
}



[6]
{
  "formula": "LiNiOs2",
  "functional": "meta-GGA SCAN",
  "state": "single point on PBEsol structure",
  "e_form_ev_per_atom": 0.36,
  "relative_energy_ev_per_atom": 0.0747,
  "lattice_angstrom": [[2.550, 0.000, 0.000], [0.000, 3.908, 0.000], [0.000, 0.000, 5.027]],
  "species": ["Li", "Ni", "Os", "Os"],
  "fractional_positions": [[0.000, 0.000, 0.000], [0.000, 0.000, 0.500], [0.500, 0.500, 0.244], [0.500, 0.500, 0.756]]
}



[7]
{
  "formula": "LiNi2Os",
  "functional": "meta-GGA SCAN",
  "state": "single point on PBEsol structure",
  "e_form_ev_per_atom": 0.02,
  "relative_energy_ev_per_atom": 0.0059,
  "lattice_angstrom": [[2.516, 0.000, 0.000], [0.000, 4.146, 0.000], [0.000, 0.000, 4.419]],
  "species": ["Li", "Ni", "Ni", "Os"],
  "fractional_positions": [[0.000, 0.000, 0.000], [0.500, 0.000, 0.485], [0.500, 0.500, 0.127], [0.000, 0.500, 0.632]]
}



[8]
{
  "formula": "LiNi6Os",
  "functional": "meta-GGA SCAN",
  "state": "single point on PBEsol structure",
  "e_form_ev_per_atom": 0.08,
  "lattice_angstrom": [[3.515, -4.973, 0.000], [3.515, 4.973, 0.000], [0.000, 0.000, 9.952]],
  "species": ["Li", "Li", "Li", "Li", "Ni", "Ni", "Ni", "Ni", "Ni", "Ni", "Ni", "Ni", "Ni", "Ni", "Ni", "Ni", "Ni", "Ni", "Ni", "Ni", "Ni", "Ni", "Ni", "Ni", "Ni", "Ni", "Ni", "Ni", "Os", "Os", "Os", "Os"],
  "fractional_positions": [[0.000, 0.000, 0.248], [0.000, 0.000, 0.752], [0.254, 0.746, 0.000], [0.746, 0.254, 0.000], [0.000, 0.000, 0.000], [0.000, 0.000, 0.500], [0.124, 0.373, 0.124], [0.124, 0.373, 0.876], [0.127, 0.378, 0.374], [0.127, 0.378, 0.626], [0.251, 0.749, 0.251], [0.251, 0.749, 0.749], [0.373, 0.124, 0.124], [0.373, 0.124, 0.876], [0.378, 0.127, 0.374], [0.378, 0.127, 0.626], [0.500, 0.500, 0.000], [0.500, 0.500, 0.500], [0.622, 0.873, 0.374], [0.622, 0.873, 0.626], [0.627, 0.876, 0.124], [0.627, 0.876, 0.876], [0.749, 0.251, 0.251], [0.749, 0.251, 0.749], [0.873, 0.622, 0.374], [0.873, 0.622, 0.626], [0.876, 0.627, 0.124], [0.876, 0.627, 0.876], [0.245, 0.755, 0.500], [0.500, 0.500, 0.240], [0.500, 0.500, 0.760], [0.755, 0.245, 0.500]]
}



[9]
{
  "formula": "LiNi2Os",
  "functional": "meta-GGA SCAN",
  "state": "single point on PBEsol structure",
  "e_form_ev_per_atom": 0.20,
  "relative_energy_ev_per_atom": 0.1806,
  "lattice_angstrom": [[4.169, -1.243, 0.000], [4.169, 1.243, 0.000], [-0.535, 0.000, 4.469]],
  "species": ["Li", "Ni", "Ni", "Os"],
  "fractional_positions": [[0.000, 0.000, 0.000], [0.246, 0.246, 0.742], [0.754, 0.754, 0.258], [0.500, 0.500, 0.500]]
}



[10]
{
  "formula": "LiNi2Os",
  "functional": "meta-GGA SCAN",
  "state": "single point on PBEsol structure",
  "e_form_ev_per_atom": 0.05,
  "relative_energy_ev_per_atom": 0.0325,
  "lattice_angstrom": [[4.446, -1.259, 0.000], [4.446, 1.259, 0.000], [-1.114, 0.000, 4.190]],
  "species": ["Li", "Ni", "Ni", "Os"],
  "fractional_positions": [[0.000, 0.000, 0.000], [0.242, 0.242, 0.860], [0.528, 0.528, 0.509], [0.785, 0.785, 0.375]]
}



[11]
{
  "formula": "LiNi2TeOs",
  "functional": "meta-GGA SCAN",
  "state": "single point on PBEsol structure",
  "e_form_raw_mev_per_atom": 1182,
  "lattice_angstrom": [[4.573, 0.000, 0.000], [0.000, 4.573, 0.000], [0.000, 0.000, 4.861]],
  "species": ["Li", "Ni", "Ni", "Te", "Os"],
  "fractional_positions": [[0.000, 0.000, 0.000], [0.000, 0.500, 0.500], [0.500, 0.000, 0.500], [0.500, 0.500, 0.500], [0.500, 0.500, 0.000]]
}



[12]
{
  "formula": "Li2NiP2",
  "functional": "meta-GGA SCAN",
  "state": "single point on PBEsol structure",
  "e_form_ev_per_atom": -0.68,
  "lattice_angstrom": [[5.666, 0.000, 0.000], [0.000, 5.666, 0.000], [0.000, 0.000, 4.090]],
  "species": ["Li", "Li", "Li", "Li", "Ni", "Ni", "P", "P", "P", "P"],
  "fractional_positions": [[0.173, 0.327, 0.000], [0.327, 0.827, 0.000], [0.673, 0.173, 0.000], [0.827, 0.673, 0.000], [0.000, 0.000, 0.500], [0.500, 0.500, 0.500], [0.139, 0.639, 0.500], [0.361, 0.139, 0.500], [0.639, 0.861, 0.500], [0.861, 0.361, 0.500]]
}